(1)
Crystalline CaLaZn2 at its relaxed geometry. Source: Alexandria, functional PBE.

Its distance to the lowest polymorph of the same formula is 204 meV per atom. The value obtained for the volume is 106 Å³/f.u. The total moment comes out at 0.00 μB/atom.

extended XYZ file:
```
4
Lattice="3.547 0.000 0.000 0.000 3.547 0.000 0.000 0.000 8.438" Properties=species:S:1:pos:R:3 pbc="T T T"
Ca 0.000 0.000 0.000
La 1.774 1.774 3.213
Zn 0.000 0.000 5.224
Zn 1.774 1.774 6.518
```



(2)
Crystalline LiMg at its relaxed geometry. Source: Alexandria, functional PBE.

The value obtained for the volume is 41 Å³/f.u. The total moment comes out at 0.00 μB/atom. The calculation puts the raw total energy at -10.8 eV per cell.

extended XYZ file:
```
6
Lattice="5.275 -1.631 0.000 5.275 1.631 0.000 -2.820 0.000 7.221" Properties=species:S:1:pos:R:3 pbc="T T T"
Li 0.000 0.000 0.000
Li 3.164 0.000 1.103
Li 4.566 0.000 6.118
Mg -1.410 0.000 3.611
Mg 1.534 0.000 4.947
Mg 6.196 0.000 2.274
```



(3)
Crystalline TbYEr at its relaxed geometry. Source: Alexandria, functional PBE.

Its distance to the lowest polymorph of the same formula is 0 meV per atom. The value obtained for the volume is 95 Å³/f.u. The total moment comes out at 0.00 μB/atom.

extended XYZ file:
```
12
Lattice="7.934 0.000 0.000 0.000 10.021 0.000 -1.579 0.000 4.759" Properties=species:S:1:pos:R:3 pbc="T T T"
Tb 1.208 1.257 0.402
Tb 0.418 3.754 2.782
Tb 5.937 6.267 1.977
Tb 5.147 8.765 4.357
Y 1.201 6.261 0.400
Y 0.412 8.771 2.780
Y 5.943 1.250 1.980
Y 5.154 3.761 4.359
Er 2.778 1.253 3.568
Er 3.568 3.758 1.188
Er 2.787 6.264 3.571
Er 3.577 8.768 1.191
```



(4)
Crystalline HfTa3F at its relaxed geometry. Source: Alexandria, functional PBE.

Its distance to the lowest polymorph of the same formula is 0 meV per atom. The value obtained for the volume is 86 Å³/f.u. The total moment comes out at 0.00 μB/atom.

extended XYZ file:
```
5
Lattice="4.422 0.000 0.000 0.000 4.422 0.000 0.000 0.000 4.422" Properties=species:S:1:pos:R:3 pbc="T T T"
Hf 0.000 0.000 0.000
Ta 0.000 2.211 2.211
Ta 2.211 0.000 2.211
Ta 2.211 2.211 0.000
F 2.211 2.211 2.211
```